# Tm8Co2Te, optimized geometry, DFT PBE-GGA
data_Tm8Co2Te
_space_group_name_H-M_alt 'C 1 2/m 1'
_space_group_IT_number 12
_cell_length_a 8.2767
_cell_length_b 12.5254
_cell_length_c 5.6330
_cell_angle_alpha 90.00
_cell_angle_beta 102.47
_cell_angle_gamma 90.00
loop_
_space_group_symop_operation_xyz
'x,y,z'
'-x,-y,-z'
'-x,y,-z'
'x,-y,z'
'x+1/2,y+1/2,z'
'-x+1/2,-y+1/2,-z'
'-x+1/2,y+1/2,-z'
'x+1/2,-y+1/2,z'
loop_
_atom_site_label
_atom_site_type_symbol
_atom_site_fract_x
_atom_site_fract_y
_atom_site_fract_z
Tm1 Tm 0.0000 0.2503 0.0000
Tm2 Tm 0.1087 0.0000 0.7889
Tm3 Tm 0.2050 0.3649 0.6015
Co1 Co 0.0000 0.1896 0.5000
Te1 Te 0.0000 0.5000 0.0000
# Energy   -5.076 eV per atom
# Formation energy (no corrections)   -0.247 eV per atom
# Crystal system   monoclinic
# Fermi-level density of states   1.048 states/eV/atom

=====

# UCoTe, optimized geometry, DFT PBE-GGA
data_UCoTe
_space_group_name_H-M_alt 'P m m n'
_space_group_IT_number 59
_cell_length_a 4.1706
_cell_length_b 4.7534
_cell_length_c 6.7094
_cell_angle_alpha 90.00
_cell_angle_beta 90.00
_cell_angle_gamma 90.00
loop_
_space_group_symop_operation_xyz
'x,y,z'
'-x,-y,-z'
'-x+1/2,-y+1/2,z'
'x+1/2,y+1/2,-z'
'x+1/2,-y,-z'
'-x+1/2,y,z'
'-x,y+1/2,-z'
'x,-y+1/2,z'
loop_
_atom_site_label
_atom_site_type_symbol
_atom_site_fract_x
_atom_site_fract_y
_atom_site_fract_z
U1 U 0.2500 0.2500 0.1482
Co1 Co 0.2500 0.7500 0.1318
Te1 Te 0.2500 0.2500 0.6534
# Energy   -7.479 eV per atom
# Formation energy (no corrections)   -0.300 eV per atom
# Crystal system   orthorhombic
# Fermi-level density of states   1.930 states/eV/atom

=====

# U2CoTe6, optimized geometry, DFT PBE-GGA
data_U2CoTe6
_space_group_name_H-M_alt 'P 42/m n m'
_space_group_IT_number 136
_space_group_name_Hall '-P 4n 2n'
_cell_length_a 6.8773
_cell_length_b 6.8773
_cell_length_c 12.5608
_cell_angle_alpha 90.00
_cell_angle_beta 90.00
_cell_angle_gamma 90.00
loop_
_atom_site_label
_atom_site_type_symbol
_atom_site_fract_x
_atom_site_fract_y
_atom_site_fract_z
U1 U 0.0000 0.0000 0.1717
Co1 Co 0.0000 0.0000 0.5000
Te1 Te 0.1952 0.1952 0.3538
Te2 Te 0.2131 0.2131 0.0000
# Energy   -5.610 eV per atom
# Formation energy (no corrections)   -0.218 eV per atom
# Crystal system   tetragonal
# Fermi-level density of states   1.904 states/eV/atom

=====

# V3CoTe, optimized geometry, DFT PBE-GGA
data_V3CoTe
_space_group_name_H-M_alt 'P m -3 m'
_space_group_IT_number 221
_space_group_name_Hall '-P 4 2 3'
_cell_length_a 4.4183
_cell_length_b 4.4183
_cell_length_c 4.4183
_cell_angle_alpha 90.00
_cell_angle_beta 90.00
_cell_angle_gamma 90.00
loop_
_atom_site_label
_atom_site_type_symbol
_atom_site_fract_x
_atom_site_fract_y
_atom_site_fract_z
V1 V 0.0000 0.0000 0.5000
Co1 Co 0.0000 0.0000 0.0000
Te1 Te 0.5000 0.5000 0.5000
# Energy   -6.956 eV per atom
# Formation energy (no corrections)   0.565 eV per atom
# Crystal system   cubic
# Fermi-level density of states   1.323 states/eV/atom
# Distance to the lowest polymorph of the same formula   0.000 eV per atom

=====

# VCo2Te6, optimized geometry, DFT PBE-GGA
data_VCo2Te6
_space_group_name_H-M_alt 'C 1 2/m 1'
_space_group_IT_number 12
_cell_length_a 14.1406
_cell_length_b 3.6468
_cell_length_c 10.6715
_cell_angle_alpha 90.00
_cell_angle_beta 122.45
_cell_angle_gamma 90.00
loop_
_space_group_symop_operation_xyz
'x,y,z'
'-x,-y,-z'
'-x,y,-z'
'x,-y,z'
'x+1/2,y+1/2,z'
'-x+1/2,-y+1/2,-z'
'-x+1/2,y+1/2,-z'
'x+1/2,-y+1/2,z'
loop_
_atom_site_label
_atom_site_type_symbol
_atom_site_fract_x
_atom_site_fract_y
_atom_site_fract_z
V1 V 0.0000 0.0000 0.0000
Co1 Co 0.1537 0.5000 0.3120
Te1 Te 0.0090 0.0000 0.2573
Te2 Te 0.1650 0.5000 0.0822
Te3 Te 0.1964 0.5000 0.5799
# Energy   -4.902 eV per atom
# Formation energy (no corrections)   -0.215 eV per atom
# Crystal system   monoclinic
# Fermi-level density of states   0.224 states/eV/atom

=====

# VCoTe, optimized geometry, DFT PBE-GGA
data_VCoTe
_space_group_name_H-M_alt 'C 1 m 1'
_space_group_IT_number 8
_cell_length_a 6.8275
_cell_length_b 3.9420
_cell_length_c 9.1688
_cell_angle_alpha 90.00
_cell_angle_beta 104.50
_cell_angle_gamma 90.00
loop_
_space_group_symop_operation_xyz
'x,y,z'
'x,-y,z'
'x+1/2,y+1/2,z'
'x+1/2,-y+1/2,z'
loop_
_atom_site_label
_atom_site_type_symbol
_atom_site_fract_x
_atom_site_fract_y
_atom_site_fract_z
V1 V 0.0000 0.0000 0.0000
V2 V 0.2024 0.5000 0.1062
Co1 Co 0.3097 0.0000 0.9297
Co2 Co 0.4058 0.0000 0.2153
Te1 Te 0.0951 0.5000 0.7873
Te2 Te 0.2976 0.5000 0.3891
# Energy   -6.545 eV per atom
# Formation energy (no corrections)   -0.089 eV per atom
# Crystal system   monoclinic
# Fermi-level density of states   0.965 states/eV/atom
# Distance to the lowest polymorph of the same formula   0.000 eV per atom

=====

Question: Number 6 is which compound?
Answer: VCoTe

=====

Question: Which value of Fermi-level density of states does entry 6 give?
Answer: 0.965 states/eV/atom

=====

Question: The highest energy belongs to which entry?
Answer: VCo2Te6